[1]
Rb2LiBrF6 | PBE | relaxed

Cell lengths 6.0926, 6.0926, 6.0926 Å; angles 117.63, 117.63, 94.16 degrees
Fractional coordinates of all 10 atoms:
Rb  0.2500  0.7500  0.5000
Rb  0.7500  0.2500  0.5000
Li  0.0000  0.0000  0.0000
Br  0.5000  0.5000  0.0000
F  0.2289  0.2289  0.4578
F  0.2289  0.7711  0.0000
F  0.2695  0.2695  0.0000
F  0.7305  0.7305  0.0000
F  0.7711  0.2289  0.0000
F  0.7711  0.7711  0.5422

Total magnetization in μB per cell: 2.0
Uncorrected energy in eV per atom: -3.621
E_form (uncorrected) in eV/atom: -1.946
Polymorph energy (0 for the lowest one) in eV per atom: 0.124

***

[2]
Rb2LiBrF6 | PBE | relaxed

Cell lengths 6.7736, 8.0455, 6.5504 Å; angles 90.00, 90.00, 90.00 degrees
Fractional coordinates of all 20 atoms:
Rb  0.2500  0.0053  0.1403
Rb  0.2500  0.4947  0.1403
Rb  0.7500  0.5053  0.8597
Rb  0.7500  0.9947  0.8597
Li  0.2500  0.2500  0.7193
Li  0.7500  0.7500  0.2807
Br  0.2500  0.7500  0.6184
Br  0.7500  0.2500  0.3816
F  0.0307  0.2500  0.8907
F  0.0344  0.2500  0.3877
F  0.2500  0.5096  0.6224
F  0.2500  0.9904  0.6224
F  0.4656  0.2500  0.3877
F  0.4693  0.2500  0.8907
F  0.5307  0.7500  0.1093
F  0.5344  0.7500  0.6123
F  0.7500  0.0096  0.3776
F  0.7500  0.4904  0.3776
F  0.9656  0.7500  0.6123
F  0.9693  0.7500  0.1093

Total magnetization in μB per cell: 0.2
Uncorrected energy in eV per atom: -3.745
E_form (uncorrected) in eV/atom: -2.070
Polymorph energy (0 for the lowest one) in eV per atom: 0.000

***

[3]
Li3ReBr2F6 | PBE | relaxed

Cell lengths 7.3822, 7.3822, 5.1287 Å; angles 91.09, 91.09, 49.78 degrees
Fractional coordinates of all 12 atoms:
Li  0.0000  0.0000  0.0000
Li  0.0000  0.5000  0.5000
Li  0.5000  0.0000  0.5000
Re  0.5000  0.5000  0.5000
Br  0.1817  0.1817  0.1651
Br  0.8183  0.8183  0.8349
F  0.2468  0.6894  0.2543
F  0.3106  0.7532  0.7457
F  0.3576  0.3576  0.5867
F  0.6424  0.6424  0.4133
F  0.6894  0.2468  0.2543
F  0.7532  0.3106  0.7457

Total magnetization in μB per cell: 2.0
Uncorrected energy in eV per atom: -4.748
E_form (uncorrected) in eV/atom: -2.018

***

[4]
LiSBrF | PBE | relaxed

Cell lengths 4.5478, 4.5516, 5.1371 Å; angles 92.61, 109.91, 114.94 degrees
Fractional coordinates of all 4 atoms:
Li  0.0000  0.0000  0.0000
S  0.8342  0.1499  0.5156
Br  0.3440  0.6650  0.0070
F  0.1516  0.1255  0.4261

Total magnetization in μB per cell: 0.0
Uncorrected energy in eV per atom: -3.279
E_form (uncorrected) in eV/atom: -0.882
Polymorph energy (0 for the lowest one) in eV per atom: 0.244

***

[5]
LiSBrF | PBE | relaxed

Cell lengths 3.3047, 3.3109, 7.9136 Å; angles 89.30, 89.95, 63.50 degrees
Fractional coordinates of all 4 atoms:
Li  0.0000  0.0000  0.0000
S  0.6514  0.6459  0.6732
Br  0.6508  0.6494  0.4040
F  0.6584  0.6565  0.0196

Total magnetization in μB per cell: 0.0
Uncorrected energy in eV per atom: -3.523
E_form (uncorrected) in eV/atom: -1.126
Polymorph energy (0 for the lowest one) in eV per atom: 0.000

***

[6]
LiSBrF | PBE | relaxed

Cell lengths 3.2329, 4.8314, 6.9384 Å; angles 104.93, 103.29, 92.77 degrees
Fractional coordinates of all 4 atoms:
Li  0.0000  0.0000  0.0000
S  0.7889  0.6054  0.6442
Br  0.6941  0.8421  0.4201
F  0.5561  0.0672  0.1039

Total magnetization in μB per cell: 0.0
Uncorrected energy in eV per atom: -3.451
E_form (uncorrected) in eV/atom: -1.055
Polymorph energy (0 for the lowest one) in eV per atom: 0.071

***

[7]
LiSiBrF | PBE | relaxed

Cell lengths 9.6875, 3.3327, 6.0111 Å; angles 90.00, 118.37, 90.00 degrees
Fractional coordinates of all 8 atoms:
Li  0.0000  0.0000  0.0000
Li  0.5000  0.5000  0.0000
Si  0.1778  0.5000  0.7230
Si  0.6778  0.0000  0.7230
Br  0.4519  0.0000  0.3109
Br  0.9519  0.5000  0.3109
F  0.0663  0.5000  0.8901
F  0.5663  0.0000  0.8901

Total magnetization in μB per cell: 0.0
Uncorrected energy in eV per atom: -3.926
E_form (uncorrected) in eV/atom: -1.206
Polymorph energy (0 for the lowest one) in eV per atom: 0.025

***

[8]
LiSiBrF | PBE | relaxed

Cell lengths 3.3720, 4.7446, 5.6834 Å; angles 71.07, 89.89, 89.97 degrees
Fractional coordinates of all 4 atoms:
Li  0.0000  0.0000  0.0000
Si  0.5004  0.6681  0.7808
Br  0.5009  0.6442  0.3678
F  0.5000  0.2759  0.9223

Total magnetization in μB per cell: 0.0
Uncorrected energy in eV per atom: -3.941
E_form (uncorrected) in eV/atom: -1.221
Polymorph energy (0 for the lowest one) in eV per atom: 0.011

***

[9]
LiSiBrF | PBE | relaxed

Cell lengths 10.0291, 3.5571, 5.7134 Å; angles 90.00, 108.86, 90.00 degrees
Fractional coordinates of all 8 atoms:
Li  0.0000  0.0000  0.0000
Li  0.5000  0.5000  0.0000
Si  0.1238  0.5000  0.7685
Si  0.6238  0.0000  0.7685
Br  0.1167  0.5000  0.3443
Br  0.6167  0.0000  0.3443
F  0.3035  0.5000  0.8887
F  0.8035  0.0000  0.8887

Total magnetization in μB per cell: 0.0
Uncorrected energy in eV per atom: -3.952
E_form (uncorrected) in eV/atom: -1.231
Polymorph energy (0 for the lowest one) in eV per atom: 0.000

***

[10]
LiSiBrF | PBE | relaxed

Cell lengths 3.3994, 4.6903, 5.8479 Å; angles 72.25, 73.23, 89.99 degrees
Fractional coordinates of all 4 atoms:
Li  0.0000  0.0000  0.0000
Si  0.4111  0.3611  0.1816
Br  0.2161  0.4377  0.5785
F  0.4927  0.7544  0.0163

Total magnetization in μB per cell: 0.0
Uncorrected energy in eV per atom: -3.945
E_form (uncorrected) in eV/atom: -1.224
Polymorph energy (0 for the lowest one) in eV per atom: 0.007

***

[11]
LiSiBrF | PBE | relaxed

Cell lengths 9.6896, 3.5634, 5.7660 Å; angles 90.00, 113.43, 90.00 degrees
Fractional coordinates of all 8 atoms:
Li  0.0000  0.0000  0.0000
Li  0.5000  0.5000  0.0000
Si  0.1155  0.5000  0.7689
Si  0.6155  0.0000  0.7689
Br  0.4746  0.0000  0.3220
Br  0.9746  0.5000  0.3220
F  0.2918  0.5000  0.7716
F  0.7918  0.0000  0.7716

Total magnetization in μB per cell: 0.3
Uncorrected energy in eV per atom: -3.942
E_form (uncorrected) in eV/atom: -1.222
Polymorph energy (0 for the lowest one) in eV per atom: 0.010

***

[12]
LiSiBrF | PBE | relaxed

Cell lengths 3.0289, 3.5782, 7.8638 Å; angles 79.07, 89.93, 65.43 degrees
Fractional coordinates of all 4 atoms:
Li  0.0000  0.0000  0.0000
Si  0.5524  0.8896  0.4051
Br  0.6535  0.6911  0.7978
F  0.4970  0.0037  0.1699

Total magnetization in μB per cell: 0.0
Uncorrected energy in eV per atom: -3.891
E_form (uncorrected) in eV/atom: -1.171
Polymorph energy (0 for the lowest one) in eV per atom: 0.061

***

[13]
LiSnBrF | PBE | relaxed

Cell lengths 4.6080, 3.3531, 6.2004 Å; angles 90.00, 104.65, 90.00 degrees
Fractional coordinates of all 4 atoms:
Li  0.0000  0.0000  0.0000
Sn  0.6374  0.5000  0.3846
Br  0.1970  0.5000  0.7140
F  0.9420  0.5000  0.1403

Total magnetization in μB per cell: 0.0
Uncorrected energy in eV per atom: -3.832
E_form (uncorrected) in eV/atom: -1.467
Polymorph energy (0 for the lowest one) in eV per atom: 0.032

***

[14]
LiSnBrF2 | PBE | relaxed

Cell lengths 6.9484, 4.3320, 7.8821 Å; angles 90.00, 115.00, 90.00 degrees
Fractional coordinates of all 10 atoms:
Li  0.1537  0.2500  0.0676
Li  0.8463  0.7500  0.9324
Sn  0.2446  0.7500  0.7781
Sn  0.7554  0.2500  0.2219
Br  0.1960  0.2500  0.4151
Br  0.8040  0.7500  0.5849
F  0.1489  0.7500  0.0147
F  0.2924  0.2500  0.9040
F  0.7076  0.7500  0.0960
F  0.8511  0.2500  0.9853

Total magnetization in μB per cell: 0.0
Uncorrected energy in eV per atom: -4.309
E_form (uncorrected) in eV/atom: -2.043

***

[15]
LiSnBrF | PBE | relaxed

Cell lengths 6.0176, 3.4395, 7.7958 Å; angles 90.00, 105.31, 90.00 degrees
Fractional coordinates of all 8 atoms:
Li  0.0000  0.0000  0.0000
Li  0.5000  0.5000  0.0000
Sn  0.1930  0.0000  0.5833
Sn  0.6930  0.5000  0.5833
Br  0.2559  0.5000  0.2643
Br  0.7559  0.0000  0.2643
F  0.3003  0.0000  0.9007
F  0.8003  0.5000  0.9007

Total magnetization in μB per cell: 0.0
Uncorrected energy in eV per atom: -3.864
E_form (uncorrected) in eV/atom: -1.499
Polymorph energy (0 for the lowest one) in eV per atom: 0.000

***

[16]
LiSnBrF | PBE | relaxed

Cell lengths 3.4581, 3.4581, 7.5145 Å; angles 90.00, 90.00, 120.00 degrees
Fractional coordinates of all 4 atoms:
Li  0.0000  0.0000  0.0000
Sn  0.3333  0.6667  0.5843
Br  0.6667  0.3333  0.2664
F  0.3333  0.6667  0.9028

Total magnetization in μB per cell: 0.0
Uncorrected energy in eV per atom: -3.863
E_form (uncorrected) in eV/atom: -1.498
Polymorph energy (0 for the lowest one) in eV per atom: 0.001

***

[17]
LiSnBrF | PBE | relaxed

Cell lengths 3.4554, 3.5981, 14.2974 Å; angles 90.00, 90.00, 90.00 degrees
Fractional coordinates of all 8 atoms:
Li  0.0000  0.0000  0.0000
Li  0.5000  0.5000  0.5000
Sn  0.0000  0.5000  0.2407
Sn  0.5000  0.0000  0.7407
Br  0.0000  0.0000  0.4382
Br  0.5000  0.5000  0.9382
F  0.0000  0.0000  0.1295
F  0.5000  0.5000  0.6295

Total magnetization in μB per cell: 0.0
Uncorrected energy in eV per atom: -3.822
E_form (uncorrected) in eV/atom: -1.457
Polymorph energy (0 for the lowest one) in eV per atom: 0.042

***

[18]
LiSnBrF | PBE | relaxed

Cell lengths 12.8701, 3.3968, 4.2696 Å; angles 90.00, 109.25, 90.00 degrees
Fractional coordinates of all 8 atoms:
Li  0.0000  0.0000  0.0000
Li  0.5000  0.5000  0.0000
Sn  0.3092  0.0000  0.3045
Sn  0.8092  0.5000  0.3045
Br  0.1331  0.0000  0.6352
Br  0.6331  0.5000  0.6352
F  0.4282  0.0000  0.9325
F  0.9282  0.5000  0.9325

Total magnetization in μB per cell: 0.0
Uncorrected energy in eV per atom: -3.844
E_form (uncorrected) in eV/atom: -1.479
Polymorph energy (0 for the lowest one) in eV per atom: 0.020

***

[19]
LiSnBrF | PBE | relaxed

Cell lengths 16.0176, 3.4625, 3.4939 Å; angles 90.00, 100.15, 90.00 degrees
Fractional coordinates of all 8 atoms:
Li  0.0000  0.0000  0.0000
Li  0.5000  0.5000  0.0000
Sn  0.2525  0.5000  0.8867
Sn  0.7525  0.0000  0.8867
Br  0.0602  0.5000  0.5502
Br  0.5602  0.0000  0.5502
F  0.3839  0.5000  0.9156
F  0.8839  0.0000  0.9156

Total magnetization in μB per cell: 0.0
Uncorrected energy in eV per atom: -3.832
E_form (uncorrected) in eV/atom: -1.467
Polymorph energy (0 for the lowest one) in eV per atom: 0.032

***

[20]
LiSnBrF | PBE | relaxed

Cell lengths 3.4464, 3.4464, 23.9978 Å; angles 90.00, 90.00, 120.00 degrees
Fractional coordinates of all 12 atoms:
Li  0.0000  0.0000  0.0000
Li  0.3333  0.6667  0.6667
Li  0.6667  0.3333  0.3333
Sn  0.0000  0.0000  0.4608
Sn  0.3333  0.6667  0.1275
Sn  0.6667  0.3333  0.7942
Br  0.0000  0.0000  0.8876
Br  0.3333  0.6667  0.5543
Br  0.6667  0.3333  0.2209
F  0.0000  0.0000  0.3496
F  0.3333  0.6667  0.0163
F  0.6667  0.3333  0.6829

Total magnetization in μB per cell: 0.0
Uncorrected energy in eV per atom: -3.858
E_form (uncorrected) in eV/atom: -1.493
Polymorph energy (0 for the lowest one) in eV per atom: 0.006

***

[21]
LiSnBrF | PBE | relaxed

Cell lengths 3.4777, 3.4786, 8.2456 Å; angles 100.04, 100.44, 95.29 degrees
Fractional coordinates of all 4 atoms:
Li  0.0000  0.0000  0.0000
Sn  0.2023  0.1852  0.4918
Br  0.4428  0.4420  0.8760
F  0.1111  0.1016  0.2296

Total magnetization in μB per cell: 0.0
Uncorrected energy in eV per atom: -3.834
E_form (uncorrected) in eV/atom: -1.469
Polymorph energy (0 for the lowest one) in eV per atom: 0.030

***

[22]
Li3TcBr2F6 | PBE | relaxed

Cell lengths 7.1139, 7.1139, 5.4227 Å; angles 90.21, 90.21, 47.76 degrees
Fractional coordinates of all 12 atoms:
Li  0.0000  0.0000  0.0000
Li  0.0000  0.5000  0.5000
Li  0.5000  0.0000  0.5000
Tc  0.5000  0.5000  0.5000
Br  0.2297  0.2297  0.9963
Br  0.7703  0.7703  0.0037
F  0.2518  0.7457  0.7454
F  0.2543  0.7482  0.2546
F  0.3449  0.3449  0.4961
F  0.6551  0.6551  0.5039
F  0.7457  0.2518  0.7454
F  0.7482  0.2543  0.2546

Total magnetization in μB per cell: 3.2
Uncorrected energy in eV per atom: -4.591
E_form (uncorrected) in eV/atom: -2.035

***

[23]
Li2TeBrF | PBE | relaxed

Cell lengths 4.3052, 4.3052, 6.2089 Å; angles 90.00, 90.00, 90.00 degrees
Fractional coordinates of all 5 atoms:
Li  0.0000  0.5000  0.0000
Li  0.5000  0.0000  0.0000
Te  0.0000  0.0000  0.5000
Br  0.5000  0.5000  0.5000
F  0.0000  0.0000  0.0000

Total magnetization in μB per cell: 0.0
Uncorrected energy in eV per atom: -3.077
E_form (uncorrected) in eV/atom: -0.974

***

[24]
LiTlBrF | PBE | relaxed

Cell lengths 4.1472, 4.1497, 7.1542 Å; angles 90.14, 106.56, 119.93 degrees
Fractional coordinates of all 4 atoms:
Li  0.0000  0.0000  0.0000
Tl  0.6266  0.8144  0.4464
Br  0.5691  0.2845  0.8514
F  0.1775  0.0894  0.2705

Total magnetization in μB per cell: 0.0
Uncorrected energy in eV per atom: -3.668
E_form (uncorrected) in eV/atom: -1.712
Polymorph energy (0 for the lowest one) in eV per atom: 0.015

***

[25]
LiTlBrF | PBE | relaxed

Cell lengths 5.0220, 5.0220, 3.8690 Å; angles 90.00, 90.00, 120.00 degrees
Fractional coordinates of all 4 atoms:
Li  0.0000  0.0000  0.0000
Tl  0.3333  0.6667  0.5000
Br  0.6667  0.3333  0.0000
F  0.0000  0.0000  0.5000

Total magnetization in μB per cell: 0.0
Uncorrected energy in eV per atom: -3.640
E_form (uncorrected) in eV/atom: -1.684
Polymorph energy (0 for the lowest one) in eV per atom: 0.042

***

[26]
LiTlBrF | PBE | relaxed

Cell lengths 4.2141, 4.2141, 6.5472 Å; angles 90.00, 90.00, 120.00 degrees
Fractional coordinates of all 4 atoms:
Li  0.0000  0.0000  0.0000
Tl  0.3333  0.6667  0.5504
Br  0.6667  0.3333  0.1459
F  0.0000  0.0000  0.7222

Total magnetization in μB per cell: 0.0
Uncorrected energy in eV per atom: -3.680
E_form (uncorrected) in eV/atom: -1.724
Polymorph energy (0 for the lowest one) in eV per atom: 0.003